No. 1
Compound: Li2CaCoW
Source: Alexandria via LeMat-Bulk
Functional: PBE
Structure: optimized geometry

Computed properties:
- symmetry = P4/mmm, No. 123
- formation enthalpy at 0 K (meV per atom) = 1527.5

a b c (Å): 4.4186 4.7866 4.4186
angles (deg): 90.00 90.00 90.00
Last column: nearest neighbours and their distance in Å.
Sites, in units of the cell vectors:
Ca: 0.0000 0.5000 0.0000  2 Co 2.39
Co: 0.0000 0.0000 0.0000  4 Li 2.21, 2 Ca 2.39
Li: 0.5000 0.0000 0.0000  2 Co 2.21
Li: 0.0000 0.0000 0.5000  2 Co 2.21
W: 0.5000 0.5000 0.5000  4 Ca 3.12, 8 Li 3.26



No. 2
Compound: LiCa2YCo
Source: Alexandria via LeMat-Bulk
Functional: PBE
Structure: optimized geometry

Computed properties:
- symmetry = P4/mmm, No. 123
- formation enthalpy at 0 K (meV per atom) = 108.1

a b c (Å): 5.4997 5.4997 5.1175
angles (deg): 90.00 90.00 90.00
Last column: nearest neighbours and their distance in Å.
Sites, in units of the cell vectors:
Co: 0.0000 0.0000 0.0000  2 Y 2.56, 4 Ca 2.75
Li: 0.5000 0.5000 0.5000  8 Ca 3.76, 4 Y 3.89
Ca: 0.0000 0.5000 0.0000  2 Co 2.75
Ca: 0.5000 0.0000 0.0000  2 Co 2.75
Y: 0.0000 0.0000 0.5000  2 Co 2.56



No. 3
Compound: LiCaY2Co
Source: Alexandria via LeMat-Bulk
Functional: PBE
Structure: optimized geometry

Computed properties:
- symmetry = P4/mmm, No. 123
- energy above the most stable polymorph in this dataset (eV/atom) = 0.0000
- formation enthalpy at 0 K (meV per atom) = 53.0

a b c (Å): 5.1819 5.1819 5.5746
angles (deg): 90.00 90.00 90.00
Last column: nearest neighbours and their distance in Å.
Sites, in units of the cell vectors:
Co: 0.0000 0.0000 0.0000  4 Y 2.59, 2 Ca 2.79
Li: 0.5000 0.5000 0.5000  4 Ca 3.66, 8 Y 3.81
Y: 0.0000 0.5000 0.0000  2 Co 2.59
Y: 0.5000 0.0000 0.0000  2 Co 2.59
Ca: 0.0000 0.0000 0.5000  2 Co 2.79



No. 4
Compound: LiCaY2Co
Source: Alexandria via LeMat-Bulk
Functional: PBE
Structure: optimized geometry

Computed properties:
- symmetry = P4/mmm, No. 123
- energy above the most stable polymorph in this dataset (eV/atom) = 0.0364
- formation enthalpy at 0 K (meV per atom) = 89.4

a b c (Å): 5.1341 5.1341 5.3137
angles (deg): 90.00 90.00 90.00
Last column: nearest neighbours and their distance in Å.
Sites, in units of the cell vectors:
Li: 0.0000 0.0000 0.5000  2 Co 2.66
Y: 0.0000 0.5000 0.0000  2 Co 2.57
Y: 0.5000 0.0000 0.0000  2 Co 2.57
Ca: 0.5000 0.5000 0.5000  4 Li 3.63, 8 Y 3.69
Co: 0.0000 0.0000 0.0000  4 Y 2.57, 2 Li 2.66